# La2Dy3In PBE-GGA relaxed
# Volume   194.9 Å³/f.u.
# E_tot   -4.499 eV per atom
data_La2Dy3In
_chemical_formula_sum 'La8 Dy12 In4'
_cell_length_a 17.5694
_cell_length_b 6.3560
_cell_length_c 6.9811
_cell_angle_alpha 90.00
_cell_angle_beta 90.00
_cell_angle_gamma 90.00
_symmetry_space_group_name_H-M 'C m c m'
_symmetry_Int_Tables_number 63
_symmetry_space_group_name_Hall '-C 2c 2'
loop_
_atom_site_label
_atom_site_type_symbol
_atom_site_fract_x
_atom_site_fract_y
_atom_site_fract_z
La1 La 0.1813 0.0330 0.2500
Dy1 Dy 0.0000 0.1779 0.7500
Dy2 Dy 0.1353 0.5000 0.0000
In1 In 0.0000 0.3074 0.2500

---

# LaDy4In5 PBE-GGA relaxed
# Volume   273.6 Å³/f.u.
# E_tot   -4.182 eV per atom
data_LaDy4In5
_chemical_formula_sum 'La1 Dy4 In5'
_cell_length_a 3.7824
_cell_length_b 3.7824
_cell_length_c 19.1228
_cell_angle_alpha 90.00
_cell_angle_beta 90.00
_cell_angle_gamma 90.00
_symmetry_space_group_name_H-M 'P 4/m m m'
_symmetry_Int_Tables_number 123
_symmetry_space_group_name_Hall '-P 4 2'
loop_
_atom_site_label
_atom_site_type_symbol
_atom_site_fract_x
_atom_site_fract_y
_atom_site_fract_z
La1 La 0.0000 0.0000 0.0000
Dy1 Dy 0.0000 0.0000 0.2083
Dy2 Dy 0.0000 0.0000 0.4029
In1 In 0.5000 0.5000 0.1119
In2 In 0.5000 0.5000 0.3057
In3 In 0.5000 0.5000 0.5000

---

# La6Dy5In PBE-GGA relaxed
# Volume   400.9 Å³/f.u.
# E_tot   -4.664 eV per atom
data_La6Dy5In
_chemical_formula_sum 'La12 Dy10 In2'
_cell_length_a 5.1432
_cell_length_b 10.0222
_cell_length_c 15.5558
_cell_angle_alpha 90.00
_cell_angle_beta 90.00
_cell_angle_gamma 90.00
_symmetry_space_group_name_H-M 'I m m m'
_symmetry_Int_Tables_number 71
_symmetry_space_group_name_Hall '-I 2 2'
loop_
_atom_site_label
_atom_site_type_symbol
_atom_site_fract_x
_atom_site_fract_y
_atom_site_fract_z
La1 La 0.0000 0.2434 0.0000
La2 La 0.0000 0.2547 0.3337
Dy1 Dy 0.0000 0.0000 0.1692
Dy2 Dy 0.0000 0.0000 0.5000
Dy3 Dy 0.0000 0.5000 0.1643
In1 In 0.0000 0.5000 0.5000

---

# LaDyIn4 PBE-GGA relaxed
# Volume   159.2 Å³/f.u.
# E_tot   -3.806 eV per atom
data_LaDyIn4
_chemical_formula_sum 'La4 Dy4 In16'
_cell_length_a 8.6036
_cell_length_b 8.6036
_cell_length_c 8.6036
_cell_angle_alpha 90.00
_cell_angle_beta 90.00
_cell_angle_gamma 90.00
_symmetry_space_group_name_H-M 'F -4 3 m'
_symmetry_Int_Tables_number 216
_symmetry_space_group_name_Hall 'F -4 2 3'
loop_
_atom_site_label
_atom_site_type_symbol
_atom_site_fract_x
_atom_site_fract_y
_atom_site_fract_z
La1 La 0.0000 0.0000 0.0000
Dy1 Dy 0.2500 0.2500 0.7500
In1 In 0.1249 0.1249 0.3751

---

# LaDy4In2 PBE-GGA relaxed
# Volume   222.3 Å³/f.u.
# E_tot   -4.313 eV per atom
data_LaDy4In2
_chemical_formula_sum 'La2 Dy8 In4'
_cell_length_a 9.3047
_cell_length_b 9.3047
_cell_length_c 5.1345
_cell_angle_alpha 90.00
_cell_angle_beta 90.00
_cell_angle_gamma 90.00
_symmetry_space_group_name_H-M 'P 42/m n m'
_symmetry_Int_Tables_number 136
_symmetry_space_group_name_Hall '-P 4n 2n'
loop_
_atom_site_label
_atom_site_type_symbol
_atom_site_fract_x
_atom_site_fract_y
_atom_site_fract_z
La1 La 0.0000 0.0000 0.0000
Dy1 Dy 0.1023 0.3539 0.5000
In1 In 0.2045 0.7955 0.5000

---

# La2DyIn PBE-GGA relaxed
# Volume   124.4 Å³/f.u.
# E_tot   -4.575 eV per atom
data_La2DyIn
_chemical_formula_sum 'La2 Dy1 In1'
_cell_length_a 4.9229
_cell_length_b 4.9229
_cell_length_c 5.1337
_cell_angle_alpha 90.00
_cell_angle_beta 90.00
_cell_angle_gamma 90.00
_symmetry_space_group_name_H-M 'P 4/m m m'
_symmetry_Int_Tables_number 123
_symmetry_space_group_name_Hall '-P 4 2'
loop_
_atom_site_label
_atom_site_type_symbol
_atom_site_fract_x
_atom_site_fract_y
_atom_site_fract_z
La1 La 0.0000 0.5000 0.0000
Dy1 Dy 0.0000 0.0000 0.5000
In1 In 0.5000 0.5000 0.5000

---

> Which formula does entry 5 have?

LaDy4In2

---

> The highest volume belongs to which entry?

La6Dy5In